DFT (meta-GGA SCAN) results for a crystal of RbGe4Pt4 relaxed with PBEsol.

Lattice parameters (Å, degrees): 8.6676 8.6676 4.7434 90.00 90.00 90.00
Space group I4 (No. 79)
Unique sites:
Rb  0.0000  0.0000  0.0000 x2
Ge  0.1169  0.6188  0.7021 x8
Pt  0.1726  0.3236  0.7022 x8

## Properties
- E_form: -603.7 meV per atom
- Spin magnetization: 0.00 μB/f.u.

DFT (meta-GGA SCAN) results for a crystal of MgZn2Cd relaxed with PBEsol.

Lattice parameters (Å, degrees): 3.0519 4.5576 5.2392 90.00 90.11 90.00
Space group P2/m (No. 10)
Unique sites:
Mg  0.0000  0.0000  0.0000 x1
Zn  0.4992  0.5000  0.2370 x2
Cd  0.5000  0.0000  0.5000 x1

## Properties
- E_form: -35.5 meV per atom
- Spin magnetization: 0.00 μB/f.u.